No. 1
A plane-wave DFT calculation with PBE was carried out for NaCe2Os after structural relaxation.

The structure in extended XYZ format:
```
4
Lattice="3.298 0.000 0.000 0.000 3.298 0.000 0.000 0.000 10.016" Properties=species:S:1:pos:R:3 pbc="T T T"
Na 1.649 1.649 5.008
Os 1.649 1.649 0.000
Ce 0.000 0.000 8.208
Ce 0.000 0.000 1.808
```

Computed properties:
**Symmetry**: P4/mmm (123)
**Calculated total energy**: -0.4482 Ry per atom
**Formation energy from the elements**: 5.6 meV/atom
**Offset from the most stable computed form**: 0.0 meV/atom

---

No. 2
A plane-wave DFT calculation with PBE was carried out for AlRe3Pb after structural relaxation.

The structure in extended XYZ format:
```
5
Lattice="4.551 0.000 0.000 0.000 4.551 0.000 0.000 0.000 4.551" Properties=species:S:1:pos:R:3 pbc="T T T"
Pb 2.275 2.275 2.275
Re 0.000 2.275 0.000
Re 0.000 0.000 2.275
Re 2.275 0.000 0.000
Al 0.000 0.000 0.000
```

Computed properties:
**Symmetry**: Pm-3m (221)
**Calculated total energy**: -0.5274 Ry per atom
**Formation energy from the elements**: 1783.2 meV/atom
**Offset from the most stable computed form**: 0.0 meV/atom

---

No. 3
A plane-wave DFT calculation with PBE was carried out for TeAsBr after structural relaxation.

The structure in extended XYZ format:
```
3
Lattice="-2.177 -1.330 4.329 2.768 -0.452 4.170 -0.477 3.358 3.708" Properties=species:S:1:pos:R:3 pbc="T T T"
As 0.000 0.000 0.000
Te 0.085 1.182 9.155
Br 0.057 0.788 6.103
```

Computed properties:
**Formation energy without anion corrections**: 0.385 eV/atom
**Symmetry**: F-43m (216)
**Calculated total energy**: -0.2036 Ry per atom

---

No. 4
A plane-wave DFT calculation with PBE was carried out for RbTbAgBr6 after structural relaxation.

The structure in extended XYZ format:
```
9
Lattice="7.136 -0.298 -0.154 3.318 6.333 0.144 -0.161 0.271 7.705" Properties=species:S:1:pos:R:3 pbc="T T T"
Rb 0.144 0.082 0.006
Tb 7.026 4.241 3.845
Ag 3.408 2.148 3.851
Br 8.272 2.134 2.342
Br 5.833 6.375 5.352
Br 5.484 2.426 5.474
Br 9.032 3.925 5.682
Br 4.682 3.802 2.221
Br 7.741 6.128 1.994
```

Computed properties:
**Formation energy without anion corrections**: -1.288 eV/atom
**Symmetry**: P1 (1)
**Calculated total energy**: -0.2456 Ry per atom

---

No. 5
A plane-wave DFT calculation with PBE was carried out for Mg2InNiPb after structural relaxation.

The structure in extended XYZ format:
```
5
Lattice="-1.638 -2.561 3.963 0.380 -4.253 -2.592 4.640 -0.541 1.569" Properties=species:S:1:pos:R:3 pbc="T T T"
Pb 2.320 -0.270 0.784
Ni 0.000 0.000 0.000
Mg 0.190 -2.126 -1.296
Mg -0.819 -1.281 1.981
In 1.691 -3.678 1.470
```

Computed properties:
**Symmetry**: P4/mmm (123)
**Calculated total energy**: -0.2239 Ry per atom
**Formation energy from the elements**: 37.1 meV/atom
**Offset from the most stable computed form**: 35.3 meV/atom

---

No. 6
A plane-wave DFT calculation with PBE was carried out for La3Cd2In3 after structural relaxation.

The structure in extended XYZ format:
```
16
Lattice="-4.170 2.695 0.742 1.192 -4.059 4.454 8.605 11.150 7.858" Properties=species:S:1:pos:R:3 pbc="T T T"
La -2.066 0.935 1.974
La 3.930 3.976 7.645
La 1.696 5.811 5.410
La 7.692 8.851 11.081
La 1.310 0.235 6.507
La 4.316 9.551 6.547
Cd 3.026 7.015 8.510
Cd 1.015 0.718 3.097
Cd 4.611 9.069 9.958
Cd 2.600 2.772 4.544
In -2.035 0.045 5.381
In 5.032 6.333 5.272
In 0.595 3.453 7.782
In 7.661 9.741 7.673
In -0.415 2.673 4.938
In 6.042 7.113 8.117
```

Computed properties:
**Symmetry**: Cmcm (63)
**Calculated total energy**: -0.2585 Ry per atom
**Formation energy from the elements**: -413.3 meV/atom

---

No. 7
A plane-wave DFT calculation with PBE was carried out for Ba2Cu after structural relaxation.

The structure in extended XYZ format:
```
6
Lattice="-3.214 0.765 3.474 2.801 -5.896 3.890 5.056 4.792 3.623" Properties=species:S:1:pos:R:3 pbc="T T T"
Ba 4.159 1.645 3.486
Ba 3.698 -2.749 4.026
Ba 4.723 -0.191 7.720
Ba -0.080 -0.149 3.266
Cu 0.000 0.000 0.000
Cu 2.322 -0.170 5.493
```

Computed properties:
**Symmetry**: Pnnm (58)
**Calculated total energy**: -0.1925 Ry per atom
**Formation energy from the elements**: 28.3 meV/atom

---

No. 8
A plane-wave DFT calculation with PBE was carried out for NaAu2I after structural relaxation.

The structure in extended XYZ format:
```
4
Lattice="0.000 3.623 3.623 3.623 0.000 3.623 3.623 3.623 0.000" Properties=species:S:1:pos:R:3 pbc="T T T"
I 3.623 3.623 3.623
Na 0.000 0.000 0.000
Au 1.811 1.811 1.811
Au 5.434 5.434 5.434
```

Computed properties:
**Formation energy without anion corrections**: 0.097 eV/atom
**Symmetry**: Fm-3m (225)
**Calculated total energy**: -0.1660 Ry per atom
**Offset from the most stable computed form**: 289.2 meV/atom

---

Copy entry 7 word for word.
A plane-wave DFT calculation with PBE was carried out for Ba2Cu after structural relaxation.

The structure in extended XYZ format:
```
6
Lattice="-3.214 0.765 3.474 2.801 -5.896 3.890 5.056 4.792 3.623" Properties=species:S:1:pos:R:3 pbc="T T T"
Ba 4.159 1.645 3.486
Ba 3.698 -2.749 4.026
Ba 4.723 -0.191 7.720
Ba -0.080 -0.149 3.266
Cu 0.000 0.000 0.000
Cu 2.322 -0.170 5.493
```

Computed properties:
**Symmetry**: Pnnm (58)
**Calculated total energy**: -0.1925 Ry per atom
**Formation energy from the elements**: 28.3 meV/atom

---

- Which value of calculated total energy does entry 4 give?
  -0.2456 Ry per atom

---

- Among the records above, which one has the lowest calculated total energy?
  AlRe3Pb